Entry 1:
NbGe2IrW after structural relaxation. Source: Alexandria via LeMat-Bulk, functional GGA-PBE.

Properties
- Formation energy: 6.2 eV/f.u.

Cell lengths 4.738, 4.738, 4.811 Å; angles 90.00, 90.00, 90.00 degrees
Space group P4/mmm (No. 123)
Asymmetric unit:
Nb1 0.000 0.000 0.000 (multiplicity 1)
Ge1 0.000 0.500 0.500 (multiplicity 2)
Ir1 0.500 0.500 0.000 (multiplicity 1)
W1 0.500 0.500 0.500 (multiplicity 1)

Entry 2:
PuPaAl2O8 after structural relaxation. Source: Alexandria via LeMat-Bulk, functional GGA-PBE.

Properties
- Formation energy without anion corrections: -30.09 eV/f.u.

Cell lengths 4.9281, 4.9281, 20.9031 Å; angles 90.00, 90.00, 120.00 degrees
Space group R32 (No. 155, hexagonal axes)
Asymmetric unit:
Pu1 0.0000 0.0000 0.0000 (multiplicity 3)
Pa1 0.0000 0.0000 0.5000 (multiplicity 3)
Al1 0.0000 0.0000 0.2544 (multiplicity 6)
O1 0.0000 0.0000 0.3373 (multiplicity 6)
O2 0.0055 0.3114 0.8987 (multiplicity 18)

Entry 3:
Nd4Er8Tm3 after structural relaxation. Source: Alexandria via LeMat-Bulk, functional GGA-PBE.

Properties
- Formation energy: 5.6 eV/f.u.

Cell lengths 13.331, 12.826, 6.704 Å; angles 90.00, 119.91, 90.00 degrees
Space group C2/m (No. 12)
Asymmetric unit:
Nd1 0.000 0.000 0.000 (multiplicity 2)
Nd2 0.000 0.000 0.500 (multiplicity 2)
Nd3 0.250 0.250 0.000 (multiplicity 4)
Er1 0.000 0.255 0.000 (multiplicity 4)
Er2 0.000 0.364 0.500 (multiplicity 4)
Er3 0.229 0.500 0.962 (multiplicity 4)
Er4 0.233 0.500 0.486 (multiplicity 4)
Tm1 0.000 0.500 0.000 (multiplicity 2)
Tm2 0.250 0.250 0.500 (multiplicity 4)

Entry 4:
RuW3 after structural relaxation. Source: Alexandria via LeMat-Bulk, functional GGA-PBE.

Properties
- Formation energy: 0.6 eV/f.u.

Cell lengths 6.399, 8.911, 4.410 Å; angles 90.00, 90.00, 90.00 degrees
Space group Cmcm (No. 63)
Asymmetric unit:
Ru1 0.000 0.106 0.250 (multiplicity 4)
W1 0.000 0.370 0.750 (multiplicity 4)
W2 0.243 0.373 0.250 (multiplicity 8)

Entry 5:
Tb2SeBr2 after structural relaxation. Source: Alexandria via LeMat-Bulk, functional GGA-PBE.

Properties
- Formation energy without anion corrections: -8.71 eV/f.u.

Cell lengths 7.084, 4.093, 11.307 Å; angles 90.00, 103.36, 90.00 degrees
Space group C2/m (No. 12)
Asymmetric unit:
Tb1 0.218 0.000 0.139 (multiplicity 4)
Se1 0.000 0.500 0.000 (multiplicity 2)
Br1 0.055 0.000 0.697 (multiplicity 4)

Entry 6:
CeEr2Pu after structural relaxation. Source: Alexandria via LeMat-Bulk, functional GGA-PBE.

Properties
- Formation energy: 0.7 eV/f.u.

Cell lengths 5.5272, 5.5272, 13.3635 Å; angles 90.00, 90.00, 120.00 degrees
Space group R3m (No. 160, hexagonal axes)
Asymmetric unit:
Ce1 0.0000 0.0000 0.0000 (multiplicity 3)
Er1 0.0000 0.0000 0.4948 (multiplicity 3)
Er2 0.0000 0.0000 0.7474 (multiplicity 3)
Pu1 0.0000 0.0000 0.2416 (multiplicity 3)

Entry 7:
CeDy3Tl3Se8 after structural relaxation. Source: Alexandria via LeMat-Bulk, functional GGA-PBE.

Properties
- Formation energy without anion corrections: -21.48 eV/f.u.

Cell lengths 8.3596, 8.3596, 23.3981 Å; angles 90.00, 90.00, 120.00 degrees
Space group R-3m (No. 166, hexagonal axes)
Asymmetric unit:
Ce1 0.0000 0.0000 0.0000 (multiplicity 3)
Dy1 0.0000 0.5000 0.0000 (multiplicity 9)
Tl1 0.0000 0.5000 0.5000 (multiplicity 9)
Se1 0.0000 0.0000 0.2654 (multiplicity 6)
Se2 0.9997 0.4998 0.2660 (multiplicity 18)

Entry 8:
Rb2TiCuBr6 after structural relaxation. Source: Alexandria via LeMat-Bulk, functional GGA-PBE.

Properties
- Formation energy without anion corrections: -12.12 eV/f.u.

Cell lengths 7.422, 7.432, 7.511 Å; angles 102.24, 114.99, 111.00 degrees
Space group P1 (No. 1)
Asymmetric unit:
Rb1 0.000 0.000 0.000 (multiplicity 1)
Rb2 0.033 0.491 0.529 (multiplicity 1)
Ti1 0.518 0.746 0.264 (multiplicity 1)
Cu1 0.392 0.120 0.764 (multiplicity 1)
Br1 0.086 0.564 0.061 (multiplicity 1)
Br2 0.511 0.498 0.954 (multiplicity 1)
Br3 0.530 0.010 0.059 (multiplicity 1)
Br4 0.538 0.519 0.469 (multiplicity 1)
Br5 0.582 0.051 0.574 (multiplicity 1)
Br6 0.986 0.961 0.467 (multiplicity 1)

Entry 9:
Tl2Cd2Bi after structural relaxation. Source: Alexandria via LeMat-Bulk, functional GGA-PBE.

Properties
- Formation energy: 0.2 eV/f.u.

Cell lengths 10.548, 5.069, 11.188 Å; angles 90.00, 99.18, 90.00 degrees
Space group C2/m (No. 12)
Asymmetric unit:
Tl1 0.132 0.000 0.408 (multiplicity 4)
Tl2 0.162 0.000 0.056 (multiplicity 4)
Cd1 0.003 0.500 0.865 (multiplicity 4)
Cd2 0.074 0.500 0.618 (multiplicity 4)
Bi1 0.192 0.000 0.756 (multiplicity 4)

Entry 10:
SmCuRh after structural relaxation. Source: Alexandria via LeMat-Bulk, functional GGA-PBE.

Properties
- Formation energy: -1.4 eV/f.u.

Cell lengths 4.043, 9.657, 5.764 Å; angles 90.00, 90.00, 90.00 degrees
Space group Cmcm (No. 63)
Asymmetric unit:
Sm1 0.000 0.188 0.250 (multiplicity 4)
Cu1 0.000 0.093 0.750 (multiplicity 4)
Rh1 0.000 0.500 0.000 (multiplicity 4)

Entry 11:
Pa3P2Se after structural relaxation. Source: Alexandria via LeMat-Bulk, functional GGA-PBE.

Properties
- Formation energy without anion corrections: -7.64 eV/f.u.

Cell lengths 3.8784, 3.8784, 21.0191 Å; angles 90.00, 90.00, 120.00 degrees
Space group P6_3/mmc (No. 194)
Asymmetric unit:
Pa1 0.0000 0.0000 0.0000 (multiplicity 2)
Pa2 0.3333 0.6667 0.1567 (multiplicity 4)
P1 0.3333 0.6667 0.5795 (multiplicity 4)
Se1 0.0000 0.0000 0.2500 (multiplicity 2)

Entry 12:
Pm3Pr6YEr2 after structural relaxation. Source: Alexandria via LeMat-Bulk, functional GGA-PBE.

Properties
- Formation energy: 0.2 eV/f.u.

Cell lengths 6.379, 11.042, 11.748 Å; angles 90.00, 100.43, 90.00 degrees
Space group C2/m (No. 12)
Asymmetric unit:
Pm1 0.000 0.000 0.000 (multiplicity 2)
Pm2 0.000 0.333 0.000 (multiplicity 4)
Pr1 0.248 0.000 0.747 (multiplicity 4)
Pr2 0.250 0.168 0.253 (multiplicity 8)
Y1 0.000 0.500 0.500 (multiplicity 2)
Er1 0.000 0.167 0.500 (multiplicity 4)

What did the sixth record say?
CeEr2Pu after structural relaxation. Source: Alexandria via LeMat-Bulk, functional GGA-PBE.

Properties
- Formation energy: 0.7 eV/f.u.

Cell lengths 5.5272, 5.5272, 13.3635 Å; angles 90.00, 90.00, 120.00 degrees
Space group R3m (No. 160, hexagonal axes)
Asymmetric unit:
Ce1 0.0000 0.0000 0.0000 (multiplicity 3)
Er1 0.0000 0.0000 0.4948 (multiplicity 3)
Er2 0.0000 0.0000 0.7474 (multiplicity 3)
Pu1 0.0000 0.0000 0.2416 (multiplicity 3)